DFT (PBE) results for a relaxed CsB2Pt crystal.

Output
N(E_F) (states/eV/cell): 3.0
Formation energy from the elements (eV/atom): 2.036

Cell: 4.6614 4.6614 4.6614 Å, 60.00 60.00 60.00°
Closest atoms and distances in Å follow each position.
Fractional coordinates of all 4 atoms:
Cs 0.0000 0.0000 0.0000  8 B 2.85
B 0.2500 0.2500 0.2500  4 Pt 2.85, 4 Cs 2.85
B 0.7500 0.7500 0.7500  4 Pt 2.85, 4 Cs 2.85
Pt 0.5000 0.5000 0.5000  8 B 2.85

=====

DFT (PBE) results for a relaxed CsBPt3 crystal.

Output
N(E_F) (states/eV/cell): 1.1
Formation energy from the elements (eV/atom): 2.870

Cell: 5.2550 5.2550 5.2550 Å, 90.00 90.00 90.00°
Closest atoms and distances in Å follow each position.
Fractional coordinates of all 5 atoms:
Cs 0.0000 0.0000 0.0000  6 Pt 2.63
B 0.5000 0.5000 0.5000  12 Pt 3.72
Pt 0.0000 0.0000 0.5000  2 Cs 2.63
Pt 0.0000 0.5000 0.0000  2 Cs 2.63
Pt 0.5000 0.0000 0.0000  2 Cs 2.63

=====

DFT (PBE) results for a relaxed Cs2BPt crystal.

Output
N(E_F) (states/eV/cell): 7.8
Distance to the lowest polymorph of the same formula (eV/atom): 0.086
Formation energy from the elements (eV/atom): 1.352

Cell: 7.3779 7.3779 7.3779 Å, 101.99 101.99 125.76°
Closest atoms and distances in Å follow each position.
Fractional coordinates of all 8 atoms:
Cs 0.1120 0.1250 0.4870  2 Pt 3.31, 2 Cs 3.37, 2 B 3.47
Cs 0.3750 0.8880 0.0130  2 Pt 3.31, 2 Cs 3.37, 2 B 3.47
Cs 0.6380 0.6250 0.5130  2 Pt 3.31, 2 Cs 3.37, 2 B 3.47
Cs 0.8750 0.3620 0.9870  2 Pt 3.31, 2 Cs 3.37, 2 B 3.47
B 0.2500 0.7500 0.5000  2 Pt 3.36, 4 Cs 3.47
B 0.5000 0.5000 0.0000  2 Pt 3.36, 4 Cs 3.47
Pt 0.0000 0.0000 0.0000  4 Cs 3.31, 2 B 3.36
Pt 0.7500 0.2500 0.5000  4 Cs 3.31, 2 B 3.36

=====

DFT (PBE) results for a relaxed CsBPt2 crystal.

Output
N(E_F) (states/eV/cell): 0.9
Formation energy from the elements (eV/atom): -0.171

Cell: 3.1681 10.1996 6.3762 Å, 90.00 90.31 90.00°
Closest atoms and distances in Å follow each position.
Fractional coordinates of all 8 atoms:
Cs 0.2018 0.2500 0.0025  2 Cs 3.17, 2 B 3.19
Cs 0.7982 0.7500 0.9975  2 Cs 3.17, 2 B 3.19
B 0.1978 0.2500 0.5024  4 Pt 2.07-2.11
B 0.8022 0.7500 0.4976  4 Pt 2.07-2.11
Pt 0.3096 0.6164 0.4982  2 B 2.07-2.11
Pt 0.3096 0.8836 0.4982  2 B 2.07-2.11
Pt 0.6904 0.1164 0.5018  2 B 2.07-2.11
Pt 0.6904 0.3836 0.5018  2 B 2.07-2.11